! K4Th3TiS8, optimized geometry, DFT PBE; values from VASP
&SYSTEM
  ibrav = 0, nat = 16, ntyp = 4
/
ATOMIC_SPECIES
K 39.10 K.upf
Th 232.04 Th.upf
Ti 47.87 Ti.upf
S 32.06 S.upf
ATOMIC_POSITIONS angstrom
K 0.000 0.000 0.000
K -2.014 -1.163 7.498
K -2.014 1.163 14.995
K 0.000 2.325 7.498
Th -4.028 0.000 11.246
Th -2.014 1.163 3.749
Th 2.014 1.163 3.749
Ti 0.000 0.000 11.246
S 0.000 0.000 5.394
S -1.930 -1.114 12.773
S 0.000 -2.228 9.720
S -1.930 1.114 9.720
S 1.930 -1.114 12.773
S 0.000 2.228 12.773
S 1.930 1.114 9.720
S 0.000 0.000 17.098
CELL_PARAMETERS angstrom
4.028 2.325 7.498
-4.028 2.325 7.498
0.000 -4.651 7.498
! space group = R-3m (166)
! crystal system = trigonal
! ΔE_f (raw) = -1.59 eV/atom
! DOS at the Fermi energy = 8.98 states/eV per cell
! total magnetic moment = 0.13 μB per atom


! K2ThTlS4, optimized geometry, DFT PBE; values from VASP
&SYSTEM
  ibrav = 0, nat = 8, ntyp = 4
/
ATOMIC_SPECIES
K 39.10 K.upf
Th 232.04 Th.upf
Tl 204.38 Tl.upf
S 32.06 S.upf
ATOMIC_POSITIONS angstrom
K 0.000 0.000 0.000
K 3.701 2.110 0.000
Th -1.248 2.110 3.687
Tl 2.452 0.000 3.687
S -0.173 0.000 5.236
S 1.073 2.110 2.151
S 3.831 2.110 5.223
S 5.077 0.000 2.138
CELL_PARAMETERS angstrom
7.401 0.000 0.000
0.000 4.220 0.000
-2.497 0.000 7.375
! space group = P2/m (10)
! crystal system = monoclinic
! ΔE_f (raw) = -1.28 eV/atom
! DOS at the Fermi energy = 3.75 states/eV per cell
! total magnetic moment = 0.00 μB per atom


! K3Th2TlS6, optimized geometry, DFT PBE; values from VASP
&SYSTEM
  ibrav = 0, nat = 12, ntyp = 4
/
ATOMIC_SPECIES
K 39.10 K.upf
Th 232.04 Th.upf
Tl 204.38 Tl.upf
S 32.06 S.upf
ATOMIC_POSITIONS angstrom
K 0.000 0.000 0.000
K 5.203 0.000 5.829
K 11.732 0.000 2.964
Th 6.016 0.000 1.487
Th 10.919 0.000 7.307
Tl -1.072 0.000 4.397
S 1.993 0.000 5.582
S 3.289 0.000 0.451
S 8.585 0.000 2.050
S 8.350 0.000 6.743
S 13.647 0.000 8.343
S 14.942 0.000 3.211
CELL_PARAMETERS angstrom
9.540 -2.132 0.000
9.540 2.132 0.000
-2.144 0.000 8.793
! space group = C2/m (12)
! crystal system = monoclinic
! ΔE_f (raw) = -1.56 eV/atom
! DOS at the Fermi energy = 0.00 states/eV per cell
! total magnetic moment = 0.00 μB per atom


! K4TmTh3S8, optimized geometry, DFT PBE; values from VASP
&SYSTEM
  ibrav = 0, nat = 16, ntyp = 4
/
ATOMIC_SPECIES
K 39.10 K.upf
Tm 168.93 Tm.upf
Th 232.04 Th.upf
S 32.06 S.upf
ATOMIC_POSITIONS angstrom
K 0.000 0.000 0.000
K -2.037 -1.176 7.486
K -2.037 1.176 14.972
K 0.000 2.352 7.486
Tm 0.000 0.000 11.229
Th -4.074 0.000 11.229
Th -2.037 1.176 3.743
Th 2.037 1.176 3.743
S 0.000 0.000 5.373
S -1.981 -1.144 12.786
S 0.000 -2.287 9.672
S -1.981 1.144 9.672
S 1.981 -1.144 12.786
S 0.000 2.287 12.786
S 1.981 1.144 9.672
S 0.000 0.000 17.085
CELL_PARAMETERS angstrom
4.074 2.352 7.486
-4.074 2.352 7.486
0.000 -4.704 7.486
! space group = R-3m (166)
! crystal system = trigonal
! ΔE_f (raw) = -1.72 eV/atom
! DOS at the Fermi energy = 10.06 states/eV per cell
! total magnetic moment = 0.00 μB per atom


! K4Tm3ThS8, optimized geometry, DFT PBE; values from VASP
&SYSTEM
  ibrav = 0, nat = 16, ntyp = 4
/
ATOMIC_SPECIES
K 39.10 K.upf
Tm 168.93 Tm.upf
Th 232.04 Th.upf
S 32.06 S.upf
ATOMIC_POSITIONS angstrom
K 0.000 0.000 0.000
K -2.014 -1.163 7.382
K -2.014 1.163 14.764
K 0.000 2.326 7.382
Tm -4.028 0.000 11.073
Tm -2.014 1.163 3.691
Tm 2.014 1.163 3.691
Th 0.000 0.000 11.073
S -2.053 -1.185 12.580
S 0.000 0.000 5.159
S 0.000 -2.370 9.566
S -2.053 1.185 9.566
S 2.053 -1.185 12.580
S 0.000 2.370 12.580
S 0.000 0.000 16.987
S 2.053 1.185 9.566
CELL_PARAMETERS angstrom
4.028 2.326 7.382
-4.028 2.326 7.382
0.000 -4.651 7.382
! space group = R-3m (166)
! crystal system = trigonal
! ΔE_f (raw) = -1.82 eV/atom
! DOS at the Fermi energy = 4.47 states/eV per cell
! total magnetic moment = 0.00 μB per atom


! K3TmTh2S6, optimized geometry, DFT PBE; values from VASP
&SYSTEM
  ibrav = 0, nat = 12, ntyp = 4
/
ATOMIC_SPECIES
K 39.10 K.upf
Tm 168.93 Tm.upf
Th 232.04 Th.upf
S 32.06 S.upf
ATOMIC_POSITIONS angstrom
K 0.000 0.000 0.000
K 3.525 2.046 0.000
K 3.525 -2.046 0.000
Tm 2.349 0.000 3.726
Th 2.349 4.073 3.726
Th 2.349 -4.073 3.726
S 1.204 1.983 2.170
S 0.060 0.000 5.283
S 1.204 -1.983 2.170
S 3.493 1.983 5.282
S 4.638 0.000 2.169
S 3.493 -1.983 5.282
CELL_PARAMETERS angstrom
3.525 -6.106 0.000
3.525 6.106 0.000
-2.353 0.000 7.452
! space group = C2/m (12)
! crystal system = monoclinic
! ΔE_f (raw) = -1.73 eV/atom
! DOS at the Fermi energy = 6.82 states/eV per cell
! total magnetic moment = 0.00 μB per atom